Here is a relaxed As2PbWSe crystal from Alexandria via LeMat-Bulk. Energies are from GGA-PBE.

a = 4.9618 Å, b = 4.9618 Å, c = 5.4998 Å
α = 90.00°, β = 90.00°, γ = 90.00°
Fractional positions:
As  0.0000  0.5000  0.0000
As  0.5000  0.0000  0.0000
Pb  0.0000  0.0000  0.5000
W  0.5000  0.5000  0.0000
Se  0.5000  0.5000  0.5000

Raw formation energy   351 meV per atom
Magnetization   0.00 Bohr magnetons per cell
Excess energy over the best structure of this formula in the dataset   0.00 kcal/mol of atoms